Below is BaCoGeO4 after structural relaxation, with properties calculated at the PBE with a Hubbard U level.

Cell and atoms, written as POSCAR:
```
BaCoGeO4
1.0
5.512 0.000 0.000
0.000 5.839 0.000
-1.807 0.000 6.734
Ba Co Ge O
2 2 2 8
Cartesian
0.521 1.460 2.971 Ba
3.185 4.380 3.762 Ba
0.190 1.460 6.620 Co
3.516 4.380 0.114 Co
0.958 4.380 1.122 Ge
2.748 1.460 5.612 Ge
0.043 1.460 0.314 O
0.062 4.380 2.643 O
2.223 3.070 1.251 O
2.223 5.689 1.251 O
1.483 0.151 5.483 O
1.483 2.769 5.483 O
3.644 1.460 4.091 O
3.663 4.380 6.420 O
```

Summary:
As for the uncorrected energy: -6.310 eV/atom.